Pm2ThO: relaxed, PBE.

## Properties
Uncorrected energy (eV per atom): -6.295
Uncorrected formation energy (eV/atom): -0.8250
Excess energy over the best structure of this formula in the dataset (meV per atom): 286
Fermi-level density of states (states/eV per atom): 0.78

Unit cell a=3.3012 b=3.3012 c=8.5376 alpha=90.00 beta=90.00 gamma=90.00
With the nearest neighbours (Å) after each atom.
Space group P4/mmm (No. 123)
One atom of each set of equivalent atoms:
1 Pm 0.0000 0.0000 0.1809 x2  4 O 2.80, 1 Pm 3.09
2 Th 0.5000 0.5000 0.5000 x1  4 Th 3.30, 8 Pm 3.59
3 O 0.5000 0.5000 0.0000 x1  8 Pm 2.80